Density functional theory data (meta-GGA SCAN) for Cs2Ga2Ag at its PBEsol-relaxed geometry.

Unit cell a=3.824 b=3.824 c=11.811 alpha=99.32 beta=99.32 gamma=90.00
Element x y z (fractional)
1 Cs 0.397 0.397 0.793
2 Cs 0.603 0.603 0.207
3 Ga 0.250 0.750 0.500
4 Ga 0.750 0.250 0.500
5 Ag 0.000 0.000 0.000

Properties
- final energy (eV per atom) = -27.839